Entry 1:
Pm2Dy4Tm5 after structural relaxation, computed with GGA-PBE.

Raw total energy: -0.162 Ha/atom
Energy of formation from the pure elements: 161 meV per atom
SG: No. 12
Relative energy among the computed polymorphs: 140 meV/atom
M_tot: 0.0 μB/f.u.
V: 353.3 Å³/f.u.

```
Pm2Dy4Tm5
1.0
-5.622 1.120 -3.278
-0.614 -4.959 -7.292
-3.872 -8.866 -3.040
Pm Dy Tm
2 4 5
direct
0.198 0.898 0.706
0.802 0.102 0.294
0.413 0.770 0.405
0.587 0.230 0.595
0.757 0.684 0.803
0.243 0.316 0.197
0.174 0.271 0.904
0.826 0.729 0.096
0.000 0.500 0.500
0.651 0.271 0.904
0.349 0.729 0.096
```

Entry 2:
Pm2Dy5Tm3 after structural relaxation, computed with GGA-PBE.

Raw total energy: -0.167 Ha/atom
Energy of formation from the pure elements: 57 meV per atom
SG: No. 2
Relative energy among the computed polymorphs: 0 meV/atom
M_tot: 0.0 μB/f.u.
V: 320.1 Å³/f.u.

```
Pm2Dy5Tm3
1.0
-6.289 -0.900 -2.220
0.768 -8.133 -8.014
-2.365 -11.853 -0.059
Pm Dy Tm
4 10 6
direct
0.141 0.789 0.968
0.859 0.211 0.032
0.592 0.993 0.676
0.408 0.007 0.324
0.225 0.207 0.753
0.775 0.793 0.247
0.450 0.698 0.741
0.063 0.371 0.180
0.550 0.302 0.259
0.937 0.629 0.820
0.186 0.495 0.364
0.814 0.505 0.636
0.685 0.382 0.461
0.315 0.618 0.539
0.275 0.908 0.147
0.725 0.092 0.853
0.370 0.320 0.924
0.630 0.680 0.076
0.888 0.927 0.428
0.112 0.073 0.572
```

Entry 3:
PmDy12Tm7 after structural relaxation, computed with GGA-PBE.

Raw total energy: -0.159 Ha/atom
Energy of formation from the pure elements: 241 meV per atom
SG: No. 148
Relative energy among the computed polymorphs: 0 meV/atom
M_tot: 0.0 μB/f.u.
V: 647.4 Å³/f.u.

```
PmDy12Tm7
1.0
-2.316 2.281 8.033
4.482 -6.442 3.675
7.049 4.897 1.195
Pm Dy Tm
1 12 7
direct
0.000 0.000 0.000
0.769 0.241 0.649
0.759 0.351 0.231
0.429 0.103 0.346
0.897 0.654 0.571
0.351 0.231 0.759
0.654 0.571 0.897
0.346 0.429 0.103
0.649 0.769 0.241
0.103 0.346 0.429
0.571 0.897 0.654
0.241 0.649 0.769
0.231 0.759 0.351
0.997 0.632 0.122
0.368 0.878 0.003
0.878 0.003 0.368
0.500 0.500 0.500
0.122 0.997 0.632
0.632 0.122 0.997
0.003 0.368 0.878
```

Entry 4:
Pm5Dy2Tm4 after structural relaxation, computed with GGA-PBE.

Raw total energy: -0.163 Ha/atom
Energy of formation from the pure elements: 195 meV per atom
SG: No. 71
Relative energy among the computed polymorphs: 63 meV/atom
M_tot: 0.0 μB/f.u.
V: 371.7 Å³/f.u.

```
Pm5Dy2Tm4
1.0
3.508 0.000 0.000
0.000 9.048 0.000
-1.754 -4.524 11.711
Pm Dy Tm
5 2 4
direct
0.855 0.055 0.710
0.855 0.655 0.710
0.145 0.345 0.290
0.145 0.945 0.290
0.500 0.000 0.000
0.269 0.269 0.539
0.731 0.731 0.461
0.000 0.315 0.000
0.596 0.596 0.193
0.000 0.685 0.000
0.404 0.404 0.807
```

Entry 5:
PmDy3Tm4 after structural relaxation, computed with GGA-PBE.

Raw total energy: -0.167 Ha/atom
Energy of formation from the pure elements: 7 meV per atom
SG: No. 31
Relative energy among the computed polymorphs: 0 meV/atom
M_tot: 0.0 μB/f.u.
V: 251.9 Å³/f.u.

```
PmDy3Tm4
1.0
6.238 0.000 0.000
0.000 7.221 0.000
0.000 0.000 11.185
Pm Dy Tm
2 6 8
direct
0.148 0.374 0.000
0.648 0.626 0.500
0.647 0.627 0.000
0.982 0.627 0.250
0.482 0.373 0.250
0.147 0.373 0.500
0.482 0.373 0.750
0.982 0.627 0.750
0.148 0.878 0.000
0.648 0.123 0.000
0.981 0.123 0.251
0.481 0.877 0.249
0.148 0.877 0.500
0.648 0.122 0.500
0.481 0.877 0.751
0.981 0.123 0.749
```

Entry 6:
Pm3Dy2Tm7 after structural relaxation, computed with GGA-PBE.

Raw total energy: -0.164 Ha/atom
Energy of formation from the pure elements: 90 meV per atom
SG: No. 10
M_tot: 0.0 μB/f.u.
V: 379.8 Å³/f.u.

```
Pm3Dy2Tm7
1.0
3.540 0.000 0.000
0.000 5.759 0.253
0.000 -1.838 18.549
Pm Dy Tm
3 2 7
direct
0.500 0.500 0.000
0.000 0.224 0.367
0.000 0.776 0.633
0.500 0.711 0.292
0.500 0.289 0.708
0.500 0.743 0.462
0.500 0.257 0.538
0.000 0.692 0.143
0.000 0.000 0.000
0.000 0.308 0.857
0.500 0.805 0.825
0.500 0.195 0.175
```

Entry 7:
Pm2Dy5Tm3 after structural relaxation, computed with GGA-PBE.

Raw total energy: -0.161 Ha/atom
Energy of formation from the pure elements: 198 meV per atom
SG: No. 15
Relative energy among the computed polymorphs: 141 meV/atom
M_tot: 0.0 μB/f.u.
V: 325.7 Å³/f.u.

```
Pm2Dy5Tm3
1.0
8.345 1.625 -3.914
0.282 8.532 -4.004
-1.726 -1.970 10.766
Pm Dy Tm
4 10 6
direct
0.780 0.015 0.749
0.220 0.985 0.251
0.469 0.734 0.749
0.531 0.266 0.251
0.280 0.530 0.059
0.720 0.470 0.941
0.018 0.768 0.536
0.523 0.273 0.546
0.982 0.232 0.464
0.477 0.727 0.454
0.871 0.615 0.769
0.129 0.385 0.231
0.398 0.154 0.769
0.602 0.846 0.231
0.226 0.976 0.951
0.774 0.024 0.049
0.729 0.461 0.239
0.271 0.539 0.761
0.010 0.778 0.239
0.990 0.222 0.761
```

Entry 8:
PmDy12Tm7 after structural relaxation, computed with GGA-PBE.

Raw total energy: -0.155 Ha/atom
Energy of formation from the pure elements: 333 meV per atom
SG: No. 148
Relative energy among the computed polymorphs: 92 meV/atom
M_tot: 0.0 μB/f.u.
V: 656.4 Å³/f.u.

```
PmDy12Tm7
1.0
6.371 0.000 1.843
-3.609 9.258 4.520
-0.848 0.000 10.884
Pm Dy Tm
1 12 7
direct
0.000 0.000 0.000
0.702 0.456 0.064
0.234 0.936 0.520
0.208 0.211 0.213
0.579 0.787 0.424
0.754 0.520 0.544
0.003 0.424 0.789
0.997 0.576 0.211
0.246 0.480 0.456
0.421 0.213 0.576
0.792 0.789 0.787
0.766 0.064 0.480
0.298 0.544 0.936
0.697 0.136 0.169
0.134 0.831 0.305
0.439 0.305 0.864
0.500 0.000 0.000
0.561 0.695 0.136
0.866 0.169 0.695
0.303 0.864 0.831
```

Entry 9:
PmDy7Tm12 after structural relaxation, computed with GGA-PBE.

Raw total energy: -0.155 Ha/atom
Energy of formation from the pure elements: 313 meV per atom
SG: No. 148
Relative energy among the computed polymorphs: 0 meV/atom
M_tot: 0.0 μB/f.u.
V: 626.1 Å³/f.u.

```
PmDy7Tm12
1.0
8.491 0.732 1.099
-1.658 8.360 1.099
-1.658 -2.206 8.138
Pm Dy Tm
1 7 12
direct
0.000 0.000 0.000
0.918 0.648 0.983
0.352 0.017 0.082
0.017 0.082 0.352
0.500 0.500 0.500
0.983 0.918 0.648
0.648 0.983 0.918
0.082 0.352 0.017
0.811 0.251 0.681
0.749 0.319 0.189
0.478 0.147 0.415
0.853 0.585 0.522
0.319 0.189 0.749
0.585 0.522 0.853
0.415 0.478 0.147
0.681 0.811 0.251
0.147 0.415 0.478
0.522 0.853 0.585
0.251 0.681 0.811
0.189 0.749 0.319
```

Entry 10:
Pm2DyTm2 after structural relaxation, computed with GGA-PBE.

Raw total energy: -0.168 Ha/atom
Energy of formation from the pure elements: 28 meV per atom
SG: No. 12
Relative energy among the computed polymorphs: 8 meV/atom
M_tot: 0.0 μB/f.u.
V: 159.9 Å³/f.u.

```
Pm2DyTm2
1.0
3.449 0.000 0.911
1.722 3.089 0.465
-1.979 -3.121 14.477
Pm Dy Tm
2 1 2
direct
0.227 0.441 0.105
0.773 0.559 0.895
0.500 0.500 0.500
0.638 0.028 0.696
0.362 0.972 0.304
```

Entry 11:
PmDy7Tm12 after structural relaxation, computed with GGA-PBE.

Raw total energy: -0.140 Ha/atom
Energy of formation from the pure elements: 731 meV per atom
SG: No. 229
Relative energy among the computed polymorphs: 418 meV/atom
M_tot: 0.0 μB/f.u.
V: 690.1 Å³/f.u.

```
PmDy7Tm12
1.0
-5.467 3.482 -7.139
9.180 2.582 -1.428
-0.648 -9.620 0.145
Pm Dy Tm
1 7 12
direct
0.000 0.000 0.000
0.500 0.500 0.000
0.000 0.500 0.500
0.500 0.000 0.500
0.500 0.500 0.500
0.000 0.000 0.500
0.500 0.000 0.000
0.000 0.500 0.000
0.491 0.745 0.746
0.000 0.745 0.254
0.509 0.255 0.254
0.000 0.255 0.746
0.746 0.000 0.255
0.746 0.491 0.745
0.254 0.000 0.745
0.254 0.509 0.255
0.745 0.746 0.491
0.255 0.254 0.509
0.745 0.254 0.000
0.255 0.746 0.000
```

Entry 12:
Pm2DyTm3 after structural relaxation, computed with GGA-PBE.

Raw total energy: -0.164 Ha/atom
Energy of formation from the pure elements: 124 meV per atom
SG: No. 12
Relative energy among the computed polymorphs: 3 meV/atom
M_tot: 0.0 μB/f.u.
V: 194.1 Å³/f.u.

```
Pm2DyTm3
1.0
3.419 0.000 -0.650
-0.334 9.994 -1.755
0.430 -1.665 11.584
Pm Dy Tm
4 2 6
direct
0.690 0.372 0.381
0.310 0.628 0.619
0.069 0.133 0.138
0.931 0.867 0.862
0.689 0.037 0.378
0.311 0.963 0.622
0.695 0.715 0.389
0.930 0.238 0.859
0.558 0.444 0.116
0.305 0.285 0.611
0.442 0.556 0.884
0.070 0.762 0.141
```

Entry 13:
Pm2Dy8Tm after structural relaxation, computed with GGA-PBE.

Raw total energy: -0.169 Ha/atom
Energy of formation from the pure elements: 19 meV per atom
SG: No. 12
Relative energy among the computed polymorphs: 0 meV/atom
M_tot: 0.0 μB/f.u.
V: 349.8 Å³/f.u.

```
Pm2Dy8Tm
1.0
4.855 0.000 -1.293
-0.523 7.697 -1.963
-0.094 -0.082 9.408
Pm Dy Tm
2 8 1
direct
0.227 0.637 0.454
0.773 0.363 0.546
0.590 0.453 0.180
0.319 0.092 0.638
0.135 0.178 0.270
0.045 0.728 0.089
0.865 0.822 0.730
0.681 0.908 0.362
0.410 0.547 0.820
0.955 0.272 0.911
0.500 0.000 0.000
```

Entry 14:
Pm6Dy5Tm2 after structural relaxation, computed with GGA-PBE.

Raw total energy: -0.167 Ha/atom
Energy of formation from the pure elements: 102 meV per atom
SG: No. 55
M_tot: 0.0 μB/f.u.
V: 430.8 Å³/f.u.

```
Pm6Dy5Tm2
1.0
3.603 0.000 0.000
0.000 11.647 0.000
0.000 0.000 20.535
Pm Dy Tm
12 10 4
direct
0.000 0.084 0.368
0.000 0.916 0.632
0.000 0.584 0.132
0.000 0.416 0.868
0.500 0.328 0.137
0.500 0.672 0.863
0.500 0.828 0.363
0.500 0.172 0.637
0.000 0.561 0.419
0.000 0.439 0.581
0.000 0.061 0.081
0.000 0.939 0.919
0.500 0.303 0.445
0.500 0.697 0.555
0.500 0.803 0.055
0.500 0.197 0.945
0.500 0.591 0.273
0.500 0.409 0.727
0.500 0.091 0.227
0.500 0.909 0.773
0.500 0.500 0.000
0.500 0.000 0.500
0.000 0.334 0.290
0.000 0.666 0.710
0.000 0.834 0.210
0.000 0.166 0.790
```

Entry 15:
PmDyTm5 after structural relaxation, computed with GGA-PBE.

Raw total energy: -0.129 Ha/atom
Energy of formation from the pure elements: 1020 meV per atom
SG: No. 44
Relative energy among the computed polymorphs: 817 meV/atom
M_tot: 0.0 μB/f.u.
V: 283.1 Å³/f.u.

```
PmDyTm5
1.0
-4.047 3.914 2.391
2.094 -2.308 7.322
5.059 3.336 -4.720
Pm Dy Tm
1 1 5
direct
0.697 0.500 0.000
0.939 0.000 0.000
0.185 0.257 0.514
0.171 0.500 0.000
0.670 0.743 0.486
0.435 0.820 0.000
0.435 0.180 0.000
```

Entry 16:
Pm5Dy2Tm12 after structural relaxation, computed with GGA-PBE.

Raw total energy: -0.167 Ha/atom
Energy of formation from the pure elements: 24 meV per atom
SG: No. 2
Relative energy among the computed polymorphs: 0 meV/atom
M_tot: 0.0 μB/f.u.
V: 593.3 Å³/f.u.

```
Pm5Dy2Tm12
1.0
7.727 1.173 1.165
-3.301 5.917 -5.372
2.138 -0.032 12.556
Pm Dy Tm
5 2 12
direct
0.262 0.473 0.552
0.159 0.684 0.132
0.000 0.000 0.500
0.841 0.316 0.868
0.738 0.527 0.448
0.579 0.844 0.817
0.421 0.156 0.183
0.946 0.103 0.287
0.104 0.790 0.921
0.633 0.738 0.027
0.213 0.578 0.341
0.681 0.630 0.235
0.524 0.948 0.605
0.476 0.052 0.395
0.787 0.422 0.659
0.319 0.370 0.765
0.896 0.210 0.079
0.367 0.262 0.973
0.054 0.897 0.713
```

Entry 17:
Pm2Dy4Tm5 after structural relaxation, computed with GGA-PBE.

Raw total energy: -0.167 Ha/atom
Energy of formation from the pure elements: 21 meV per atom
SG: No. 2
Relative energy among the computed polymorphs: 0 meV/atom
M_tot: 0.0 μB/f.u.
V: 343.8 Å³/f.u.

```
Pm2Dy4Tm5
1.0
3.495 -0.519 -0.042
-2.283 8.857 -1.959
1.850 -0.457 11.570
Pm Dy Tm
2 4 5
direct
0.863 0.270 0.817
0.137 0.730 0.183
0.772 0.454 0.364
0.314 0.361 0.092
0.228 0.546 0.636
0.686 0.639 0.908
0.955 0.092 0.274
0.045 0.908 0.726
0.591 0.820 0.457
0.500 0.000 0.000
0.409 0.180 0.543
```

Entry 18:
Pm2DyTm3 after structural relaxation, computed with GGA-PBE.

Raw total energy: -0.164 Ha/atom
Energy of formation from the pure elements: 121 meV per atom
SG: No. 12
Relative energy among the computed polymorphs: 0 meV/atom
M_tot: 0.0 μB/f.u.
V: 193.4 Å³/f.u.

```
Pm2DyTm3
1.0
-1.072 -2.261 -2.427
6.028 1.478 -6.543
8.691 -9.236 2.263
Pm Dy Tm
4 2 6
direct
0.820 0.480 0.881
0.180 0.520 0.119
0.656 0.157 0.531
0.344 0.843 0.469
0.437 0.482 0.643
0.563 0.518 0.357
0.039 0.130 0.791
0.961 0.870 0.209
0.598 0.829 0.974
0.402 0.171 0.026
0.737 0.818 0.708
0.263 0.182 0.292
```